# PBE Tc2Au, relaxed
# - Formation energy: 3.26 kcal/mol of atoms
# - Electronic total energy: -7.86 eV per atom
# - Energy above the lowest structure with this stoichiometry: 0.013 eV per atom
data_Tc2Au
_chemical_formula_sum 'Tc8 Au4'
_cell_length_a 10.187
_cell_length_b 2.831
_cell_length_c 6.712
_cell_angle_alpha 90.00
_cell_angle_beta 104.08
_cell_angle_gamma 90.00
_space_group_name_H-M_alt 'C 1 2/m 1'
_space_group_IT_number 12
_space_group_name_Hall '-C 2y'
loop_
_atom_site_label
_atom_site_fract_x
_atom_site_fract_y
_atom_site_fract_z
Tc1 0.023 0.000 0.325
Tc2 0.191 0.500 0.620
Au1 0.139 0.500 0.036



# PBE Mg3H4O5, relaxed
# - Electronic total energy: -5.47 eV per atom
data_Mg3H4O5
_chemical_formula_sum 'Mg3 H4 O5'
_cell_length_a 3.1288
_cell_length_b 3.1288
_cell_length_c 12.3780
_cell_angle_alpha 90.00
_cell_angle_beta 90.00
_cell_angle_gamma 120.00
_space_group_name_H-M_alt 'P -3 m 1'
_space_group_IT_number 164
_space_group_name_Hall '-P 3 2"'
loop_
_atom_site_label
_atom_site_fract_x
_atom_site_fract_y
_atom_site_fract_z
Mg1 0.0000 0.0000 0.0000
Mg2 0.3333 0.6667 0.5990
H1 0.3333 0.6667 0.2379
H2 0.3333 0.6667 0.8366
O1 0.0000 0.0000 0.5000
O2 0.3333 0.6667 0.3163
O3 0.3333 0.6667 0.9148



# PBE Ce2Be3GePt4, relaxed
# - Formation energy: -19.75 kcal/mol of atoms
# - Electronic total energy: -6.04 eV per atom
data_Ce2Be3GePt4
_chemical_formula_sum 'Ce2 Be3 Ge1 Pt4'
_cell_length_a 4.116
_cell_length_b 4.116
_cell_length_c 9.797
_cell_angle_alpha 90.00
_cell_angle_beta 90.00
_cell_angle_gamma 90.00
_space_group_name_H-M_alt 'P -4 m 2'
_space_group_IT_number 115
_space_group_name_Hall 'P -4 -2'
loop_
_atom_site_label
_atom_site_fract_x
_atom_site_fract_y
_atom_site_fract_z
Ce1 0.000 0.500 0.250
Be1 0.000 0.000 0.000
Be2 0.000 0.500 0.619
Ge1 0.500 0.500 0.000
Pt1 0.000 0.000 0.500
Pt2 0.000 0.500 0.858
Pt3 0.500 0.500 0.500



# PBE Ac8La2Hg, relaxed
# - Formation energy: 0.08 kcal/mol of atoms
# - Electronic total energy: -3.91 eV per atom
data_Ac8La2Hg
_chemical_formula_sum 'Ac16 La4 Hg2'
_cell_length_a 19.720
_cell_length_b 6.146
_cell_length_c 8.072
_cell_angle_alpha 90.00
_cell_angle_beta 109.28
_cell_angle_gamma 90.00
_space_group_name_H-M_alt 'C 1 2/m 1'
_space_group_IT_number 12
_space_group_name_Hall '-C 2y'
loop_
_atom_site_label
_atom_site_fract_x
_atom_site_fract_y
_atom_site_fract_z
Ac1 0.015 0.000 0.272
Ac2 0.108 0.500 0.927
Ac3 0.157 0.500 0.435
Ac4 0.187 0.000 0.735
La1 0.187 0.000 0.174
Hg1 0.000 0.500 0.500



# PBE PrNd5, relaxed
# - Formation energy: 0.28 kcal/mol of atoms
# - Electronic total energy: -4.76 eV per atom
data_PrNd5
_chemical_formula_sum 'Pr2 Nd10'
_cell_length_a 5.233
_cell_length_b 11.041
_cell_length_c 7.359
_cell_angle_alpha 90.00
_cell_angle_beta 90.00
_cell_angle_gamma 90.00
_space_group_name_H-M_alt 'P m m n'
_space_group_IT_number 59
loop_
_space_group_symop_operation_xyz
'x,y,z'
'-x,-y,-z'
'-x+1/2,-y+1/2,z'
'x+1/2,y+1/2,-z'
'x+1/2,-y,-z'
'-x+1/2,y,z'
'-x,y+1/2,-z'
'x,-y+1/2,z'
loop_
_atom_site_label
_atom_site_fract_x
_atom_site_fract_y
_atom_site_fract_z
Pr1 0.250 0.250 0.125
Nd1 0.250 0.250 0.625
Nd2 0.250 0.583 0.125
Nd3 0.250 0.583 0.625



# PBE NiBiSe, relaxed
# - Formation energy from raw total energies: -205 meV/atom
# - Electronic total energy: -4.59 eV per atom
data_NiBiSe
_chemical_formula_sum 'Ni2 Bi2 Se2'
_cell_length_a 5.895
_cell_length_b 3.547
_cell_length_c 6.993
_cell_angle_alpha 90.00
_cell_angle_beta 113.69
_cell_angle_gamma 90.00
_space_group_name_H-M_alt 'P 1 m 1'
_space_group_IT_number 6
_space_group_name_Hall 'P -2y'
loop_
_atom_site_label
_atom_site_fract_x
_atom_site_fract_y
_atom_site_fract_z
Ni1 0.000 0.000 0.000
Ni2 0.349 0.500 0.999
Bi1 0.475 0.000 0.758
Bi2 0.706 0.000 0.241
Se1 0.174 0.500 0.251
Se2 0.932 0.500 0.749



- What is the formula in the third record?
  Ce2Be3GePt4